Record 1
Computed, not measured: a crystal of KLa2Pt relaxed with PBEsol at the SCAN level of DFT.

It has space group P4mm (No. 99), with a = 4.049 Å, b = 4.049 Å, c = 9.688 Å, α = 90.00°, β = 90.00° and γ = 90.00°. The distinct sites, in fractional coordinates, are K at (0.000, 0.000, 0.000), La at (0.000, 0.000, 0.621), La at (0.500, 0.500, 0.354) and Pt at (0.500, 0.500, 0.645).

The density of states at the Fermi level comes out at 0.97 states/eV per atom. Its energy above the most stable polymorph in this dataset is 0.00 eV/f.u. Its total energy is -41.63 eV/atom.



Record 2
Computed, not measured: a crystal of KLaPt4 relaxed with PBEsol at the SCAN level of DFT.

It has space group F-43m (No. 216), with a = 7.703 Å, b = 7.703 Å, c = 7.703 Å, α = 90.00°, β = 90.00° and γ = 90.00°. The distinct sites, in fractional coordinates, are K at (0.000, 0.000, 0.000), La at (0.250, 0.250, 0.250) and Pt at (0.125, 0.125, 0.625).

The density of states at the Fermi level comes out at 0.64 states/eV per atom. Its total energy is -56.23 eV/atom.



Record 3
Computed, not measured: a crystal of KLa2Pt relaxed with PBEsol at the SCAN level of DFT.

It has space group Pmmm (No. 47), with a = 4.280 Å, b = 4.547 Å, c = 5.575 Å, α = 90.00°, β = 90.00° and γ = 90.00°. The distinct sites, in fractional coordinates, are K at (0.000, 0.000, 0.000), La at (0.500, 0.000, 0.500), La at (0.500, 0.500, 0.000) and Pt at (0.000, 0.500, 0.500).

The density of states at the Fermi level comes out at 0.83 states/eV per atom. Its energy above the most stable polymorph in this dataset is 1.37 eV/f.u. Its total energy is -41.29 eV/atom.



Record 4
Computed, not measured: a crystal of K2LaTePt relaxed with PBEsol at the SCAN level of DFT.

It has space group P4/mmm (No. 123), with a = 5.819 Å, b = 5.819 Å, c = 5.348 Å, α = 90.00°, β = 90.00° and γ = 90.00°. The distinct sites, in fractional coordinates, are K at (0.000, 0.500, 0.000), La at (0.000, 0.000, 0.500), Te at (0.500, 0.500, 0.500) and Pt at (0.000, 0.000, 0.000).

The density of states at the Fermi level comes out at 0.58 states/eV per atom. For the uncorrected formation energy, the calculation gives -614 meV per atom. Its total energy is -34.05 eV/atom.



Ordered total moment results: 0.56 0.00 0.00 0.00; unit μB per cell.